(1)
This record from Alexandria describes Pm2Ho2Sc7 after structural relaxation. The functional is PBE.

The total energy is -5.5518 eV per atom.

Lattice parameters (Å, degrees): 5.7447 7.6111 7.6111 90.80 106.20 106.20
Sites, in units of the cell vectors:
Sc: 0.0000 0.0000 0.0000
Sc: 0.1948 0.4051 0.4051
Sc: 0.8438 0.0621 0.5998
Sc: 0.1562 0.9379 0.4002
Sc: 0.1562 0.4002 0.9379
Sc: 0.8438 0.5998 0.0621
Sc: 0.8052 0.5949 0.5949
Pm: 0.5926 0.2395 0.2395
Pm: 0.4074 0.7605 0.7605
Ho: 0.5000 0.2228 0.7772
Ho: 0.5000 0.7772 0.2228

=====

(2)
This record from Alexandria describes LaTa4Mo after structural relaxation. The functional is PBE.

The total energy is -10.0677 eV per atom.

Lattice parameters (Å, degrees): 5.5972 5.5972 5.5972 60.00 60.00 60.00
Sites, in units of the cell vectors:
La: 0.7500 0.7500 0.7500
Mo: 0.0000 0.0000 0.0000
Ta: 0.3750 0.3750 0.8750
Ta: 0.3750 0.8750 0.3750
Ta: 0.3750 0.3750 0.3750
Ta: 0.8750 0.3750 0.3750

=====

(3)
This record from Alexandria describes CdSbOs2 after structural relaxation. The functional is PBE.

The energy above the lowest structure with this stoichiometry is 376.4 meV/atom. The value obtained for the uncorrected formation energy is 710 meV/atom.

Lattice parameters (Å, degrees): 4.6061 4.6061 5.4327 80.24 80.24 38.63
Sites, in units of the cell vectors:
Sb: 0.7500 0.7500 0.7500
Os: 0.4952 0.4952 0.5297
Os: 0.0048 0.0048 0.9703
Cd: 0.2500 0.2500 0.2500

=====

(4)
This record from Alexandria describes Cd2SiRh after structural relaxation. The functional is PBE.

The value obtained for the uncorrected formation energy is 127 meV/atom.

Lattice parameters (Å, degrees): 5.1472 2.9379 4.6684 92.61 90.00 90.00
Sites, in units of the cell vectors:
Rh: 0.5000 0.2500 0.2500
Cd: 0.0000 0.5091 0.4968
Cd: 0.0000 0.9909 0.0032
Si: 0.5000 0.7500 0.7500

=====

(5)
This record from Alexandria describes YLu3Co after structural relaxation. The functional is PBE.

The total energy is -5.4882 eV per atom.

Lattice parameters (Å, degrees): 5.1642 5.1642 5.1642 90.00 90.00 90.00
Sites, in units of the cell vectors:
Lu: 0.0000 0.0000 0.5000
Lu: 0.5000 0.0000 0.0000
Lu: 0.0000 0.5000 0.0000
Co: 0.0000 0.0000 0.0000
Y: 0.5000 0.5000 0.5000

=====

(6)
This record from Alexandria describes Co6IrRh after structural relaxation. The functional is PBE.

The energy above the lowest structure with this stoichiometry is 30.6 meV/atom.

Lattice parameters (Å, degrees): 6.2867 6.2867 10.2816 90.00 90.00 109.43
Each line ends with the local moment (μB).
Sites, in units of the cell vectors:
Ir: 0.7491 0.2509 0.2500  0.58
Ir: 0.0000 0.0000 0.9999  0.59
Ir: 0.2509 0.7491 0.2500  0.58
Ir: 0.0000 0.0000 0.5001  0.59
Co: 0.6253 0.8755 0.1251  1.67
Co: 0.8755 0.6253 0.3749  1.67
Co: 0.3747 0.1248 0.8751  1.76
Co: 0.0000 0.0000 0.7500  1.73
Co: 0.2499 0.7501 0.0000  1.73
Co: 0.6253 0.8752 0.6249  1.76
Co: 0.3747 0.1245 0.3749  1.67
Co: 0.1245 0.3747 0.3749  1.67
Co: 0.0000 0.0000 0.2500  1.68
Co: 0.1245 0.3747 0.1251  1.67
Co: 0.2499 0.7501 0.5000  1.73
Co: 0.5000 0.5000 0.2500  1.74
Co: 0.3747 0.1248 0.6249  1.76
Co: 0.7501 0.2499 0.0000  1.73
Co: 0.6253 0.8755 0.3749  1.67
Co: 0.1248 0.3747 0.6249  1.76
Co: 0.8755 0.6253 0.1251  1.67
Co: 0.7501 0.2499 0.5000  1.73
Co: 0.8752 0.6253 0.8751  1.76
Co: 0.3747 0.1245 0.1251  1.67
Co: 0.1248 0.3747 0.8751  1.76
Co: 0.6253 0.8752 0.8751  1.76
Co: 0.8752 0.6253 0.6249  1.76
Co: 0.5000 0.5000 0.7500  1.79
Rh: 0.5000 0.5000 0.9999  0.73
Rh: 0.7494 0.2506 0.7500  0.74
Rh: 0.2506 0.7494 0.7500  0.74
Rh: 0.5000 0.5000 0.5001  0.73

=====

(7)
This record from Alexandria describes Tm2GaFe after structural relaxation. The functional is PBE.

The energy above the lowest structure with this stoichiometry is 44.2 meV/atom.

Lattice parameters (Å, degrees): 4.8515 4.8515 4.8515 60.00 60.00 60.00
Each line ends with the local moment (μB).
Sites, in units of the cell vectors:
Fe: 0.0000 0.0000 0.0000  1.61
Tm: 0.7500 0.7500 0.7500  -0.24
Tm: 0.2500 0.2500 0.2500  -0.24
Ga: 0.5000 0.5000 0.5000  -0.03

=====

(8)
This record from Alexandria describes PmNd3Hg12 after structural relaxation. The functional is PBE.

The total energy is -1.7667 eV per atom.

Lattice parameters (Å, degrees): 4.6696 4.6696 19.0645 90.00 90.00 90.00
Sites, in units of the cell vectors:
Hg: 0.5000 0.5000 0.2492
Hg: 0.0000 0.5000 0.6253
Hg: 0.5000 0.0000 0.6253
Hg: 0.0000 0.5000 0.3747
Hg: 0.5000 0.0000 0.3747
Hg: 0.5000 0.5000 0.0000
Hg: 0.0000 0.5000 0.8759
Hg: 0.5000 0.0000 0.1241
Hg: 0.5000 0.5000 0.7508
Hg: 0.0000 0.5000 0.1241
Hg: 0.5000 0.5000 0.5000
Hg: 0.5000 0.0000 0.8759
Pm: 0.0000 0.0000 0.0000
Nd: 0.0000 0.0000 0.5000
Nd: 0.0000 0.0000 0.2493
Nd: 0.0000 0.0000 0.7507

=====

(9)
This record from Alexandria describes Pr2CoPt after structural relaxation. The functional is PBE.

The total energy is -6.1347 eV per atom.

Lattice parameters (Å, degrees): 3.5657 3.5657 7.1830 90.00 90.00 90.00
Each line ends with the local moment (μB).
Sites, in units of the cell vectors:
Pr: 0.0000 0.0000 0.7563  -0.10
Pr: 0.0000 0.0000 0.2437  -0.10
Co: 0.5000 0.5000 0.0000  0.94
Pt: 0.5000 0.5000 0.5000  -0.02

=====

(10)
This record from Alexandria describes Ba2SbPd after structural relaxation. The functional is PBE.

The value obtained for the uncorrected formation energy is -636 meV/atom.

Lattice parameters (Å, degrees): 4.3533 5.6153 5.6153 90.00 90.00 90.00
Sites, in units of the cell vectors:
Ba: 0.0000 0.5000 0.0000
Ba: 0.0000 0.0000 0.5000
Pd: 0.5000 0.0000 0.0000
Sb: 0.5000 0.5000 0.5000

=====

(11)
This record from Alexandria describes Sr2YCd after structural relaxation. The functional is PBE.

The total energy is -2.6688 eV per atom.

Lattice parameters (Å, degrees): 11.8416 11.8416 11.8416 19.33 19.33 19.33
Each line ends with the local moment (μB).
Sites, in units of the cell vectors:
Y: 0.4856 0.4856 0.4856  0.13
Sr: 0.0151 0.0151 0.0151  0.00
Sr: 0.2443 0.2443 0.2443  0.02
Cd: 0.7550 0.7550 0.7550  0.00

=====

(12)
This record from Alexandria describes Tb2PdRh after structural relaxation. The functional is PBE.

The total energy is -6.3155 eV per atom.

Lattice parameters (Å, degrees): 4.9237 4.9237 4.9237 60.00 60.00 60.00
Sites, in units of the cell vectors:
Tb: 0.5000 0.5000 0.5000
Tb: 0.0000 0.0000 0.0000
Rh: 0.2500 0.2500 0.2500
Pd: 0.7500 0.7500 0.7500

=====

(13)
This record from Alexandria describes LaPu2Ni2Ge2 after structural relaxation. The functional is PBE.

The total energy is -8.1458 eV per atom.

Lattice parameters (Å, degrees): 4.0808 4.0808 9.2972 77.32 77.32 60.00
Sites, in units of the cell vectors:
Pu: 0.8472 0.8472 0.4585
Pu: 0.1528 0.1528 0.5415
La: 0.0000 0.0000 0.0000
Ni: 0.4322 0.4322 0.7034
Ni: 0.5678 0.5678 0.2966
Ge: 0.2587 0.2587 0.2238
Ge: 0.7413 0.7413 0.7762

=====

(14)
This record from Alexandria describes TaTlNF2 after structural relaxation. The functional is PBE.

The energy above the lowest structure with this stoichiometry is 1954.1 meV/atom. The value obtained for the uncorrected formation energy is 575 meV/atom.

Lattice parameters (Å, degrees): 4.3801 4.3801 4.3717 90.00 90.00 90.00
Each line ends with the local moment (μB).
Sites, in units of the cell vectors:
Tl: 0.0000 0.0000 0.0000  0.00
Ta: 0.5000 0.5000 0.5000  2.08
F: 0.5000 0.0000 0.0000  0.04
F: 0.0000 0.5000 0.0000  0.04
N: 0.0000 0.0000 0.5000  -0.17

=====

(15)
This record from Alexandria describes Y3Os5 after structural relaxation. The functional is PBE.

The energy above the lowest structure with this stoichiometry is 215.0 meV/atom.

Lattice parameters (Å, degrees): 8.8200 8.8202 4.9212 90.00 90.00 60.00
Sites, in units of the cell vectors:
Y: 0.0000 0.6209 0.7500
Y: 0.6209 0.0000 0.2500
Y: 0.0000 0.3791 0.2500
Y: 0.3791 0.6209 0.2500
Y: 0.6209 0.3791 0.7500
Y: 0.3791 0.0000 0.7500
Os: 0.3333 0.3333 0.0000
Os: 0.8358 0.0000 0.7500
Os: 0.8357 0.1643 0.2500
Os: 0.1643 0.8357 0.7500
Os: 0.0000 0.1643 0.7500
Os: 0.6667 0.6667 0.0000
Os: 0.6667 0.6667 0.5000
Os: 0.1642 0.0000 0.2500
Os: 0.0000 0.8357 0.2500
Os: 0.3333 0.3333 0.5000

=====

(16)
This record from Alexandria describes Ba2I2O after structural relaxation. The functional is PBE.

The energy above the lowest structure with this stoichiometry is 42.7 meV/atom. The value obtained for the uncorrected formation energy is -2130 meV/atom.

Lattice parameters (Å, degrees): 4.4926 8.0815 11.1787 85.01 78.41 73.86
Sites, in units of the cell vectors:
Ba: 0.5356 0.1124 0.8164
Ba: 0.3089 0.8124 0.5698
Ba: 0.6911 0.1876 0.4302
Ba: 0.4644 0.8876 0.1836
I: 0.9638 0.4015 0.6709
I: 0.0362 0.5985 0.3291
I: 0.1560 0.7744 0.9136
I: 0.8440 0.2256 0.0864
O: 0.7014 0.9779 0.6193
O: 0.2986 0.0221 0.3807

=====

(17)
This record from Alexandria describes K2BaHPb after structural relaxation. The functional is PBE.

The total energy is -2.4769 eV per atom.

Lattice parameters (Å, degrees): 5.4042 5.4042 5.8502 90.00 90.00 90.00
Sites, in units of the cell vectors:
K: 0.5000 0.0000 0.0000
K: 0.0000 0.5000 0.0000
Ba: 0.0000 0.0000 0.5000
H: 0.0000 0.0000 0.0000
Pb: 0.5000 0.5000 0.5000

=====

(18)
This record from Alexandria describes Li2TcB after structural relaxation. The functional is PBE.

The total energy is -4.6623 eV per atom.

Lattice parameters (Å, degrees): 6.6536 6.6536 5.1557 49.81 49.81 90.00
Sites, in units of the cell vectors:
Li: 0.3750 0.4299 0.7500
Li: 0.8750 0.8201 0.7500
Li: 0.1799 0.6250 0.2500
Li: 0.5701 0.1250 0.2500
B: 0.2500 0.7500 0.5000
B: 0.5000 0.5000 0.0000
Tc: 0.7500 0.2500 0.5000
Tc: 0.0000 0.0000 0.0000

=====

(19)
This record from Alexandria describes NiPdSe2Br after structural relaxation. The functional is PBE.

The energy above the lowest structure with this stoichiometry is 261.2 meV/atom. The value obtained for the uncorrected formation energy is 729 meV/atom.

Lattice parameters (Å, degrees): 4.9478 4.9478 5.0835 90.00 90.00 90.00
Each line ends with the local moment (μB).
Sites, in units of the cell vectors:
Se: 0.0000 0.5000 0.0000  0.26
Se: 0.5000 0.0000 0.0000  0.26
Ni: 0.5000 0.5000 0.5000  1.09
Br: 0.0000 0.0000 0.5000  0.08
Pd: 0.0000 0.0000 0.0000  0.09

=====

(20)
This record from Alexandria describes LiC12 after structural relaxation. The functional is PBE.

The total energy is -8.6710 eV per atom.

Lattice parameters (Å, degrees): 4.2998 4.2998 7.5598 90.00 90.00 120.00
Sites, in units of the cell vectors:
C: 0.3332 0.0000 0.7479
C: 0.3332 0.3332 0.7479
C: 0.0000 0.6668 0.2521
C: 0.6668 0.0000 0.7479
C: 0.3332 0.3332 0.2521
C: 0.6668 0.6668 0.7479
C: 0.3332 0.0000 0.2521
C: 0.0000 0.6668 0.7479
C: 0.6668 0.6668 0.2521
C: 0.6668 0.0000 0.2521
C: 0.0000 0.3332 0.2521
C: 0.0000 0.3332 0.7479
Li: 0.0000 0.0000 0.0000

=====

(21)
This record from Alexandria describes CaZr3Pt after structural relaxation. The functional is PBE.

The energy above the lowest structure with this stoichiometry is 0.0 meV/atom.

Lattice parameters (Å, degrees): 5.2115 5.2115 5.2115 90.00 90.00 90.00
Sites, in units of the cell vectors:
Zr: 0.5000 0.0000 0.0000
Zr: 0.0000 0.0000 0.5000
Zr: 0.0000 0.5000 0.0000
Pt: 0.0000 0.0000 0.0000
Ca: 0.5000 0.5000 0.5000

=====

(22)
This record from Alexandria describes Zr2Tc2P after structural relaxation. The functional is PBE.

The total energy is -9.0192 eV per atom.

Lattice parameters (Å, degrees): 6.1927 6.1927 4.5918 90.00 90.00 90.00
Sites, in units of the cell vectors:
Zr: 0.3228 0.1772 0.5000
Zr: 0.6772 0.8228 0.5000
Zr: 0.8228 0.3228 0.5000
Zr: 0.1772 0.6772 0.5000
Tc: 0.8546 0.6454 0.0000
Tc: 0.6454 0.1454 0.0000
Tc: 0.3546 0.8546 0.0000
Tc: 0.1454 0.3546 0.0000
P: 0.5000 0.5000 0.0000
P: 0.0000 0.0000 0.0000

=====

(23)
This record from Alexandria describes PrHg3Pb3 after structural relaxation. The functional is PBE.

The total energy is -2.0185 eV per atom.

Lattice parameters (Å, degrees): 8.1064 8.1064 8.1064 90.00 90.00 90.00
Sites, in units of the cell vectors:
Pb: 0.0000 0.2500 0.5000
Pb: 0.5000 0.0000 0.2500
Pb: 0.7500 0.5000 0.0000
Pb: 0.0000 0.7500 0.5000
Pb: 0.2500 0.5000 0.0000
Pb: 0.5000 0.0000 0.7500
Hg: 0.5000 0.2500 0.0000
Hg: 0.5000 0.7500 0.0000
Hg: 0.2500 0.0000 0.5000
Hg: 0.0000 0.5000 0.7500
Hg: 0.7500 0.0000 0.5000
Hg: 0.0000 0.5000 0.2500
Pr: 0.0000 0.0000 0.0000
Pr: 0.5000 0.5000 0.5000

=====

(24)
This record from Alexandria describes Ac2GePtAu6 after structural relaxation. The functional is PBE.

The total energy is -4.3847 eV per atom.

Lattice parameters (Å, degrees): 6.9039 7.4123 7.4239 43.66 79.23 96.54
Sites, in units of the cell vectors:
Au: 0.2800 0.7695 0.9910
Au: 0.7200 0.2305 0.0090
Au: 0.0837 0.2455 0.1593
Au: 0.7178 0.7309 0.5098
Au: 0.9163 0.7545 0.8407
Au: 0.2822 0.2691 0.4902
Pt: 0.0000 0.0000 0.0000
Ge: 0.5000 0.5000 0.0000
Ac: 0.2519 0.7256 0.4716
Ac: 0.7481 0.2744 0.5284